P.
A relaxed structure of Ce4Bi3As, computed with GGA-PBE.

```
Ce4Bi3As
1.0
-3.1376 1.0465 -5.1209
1.4402 -5.5877 -2.0243
-4.6287 0.0353 6.4718
Bi As Ce
3 1 4
Direct
0.5000 0.5000 0.0000 Bi
0.3491 0.9226 0.6981 Bi
0.6509 0.0774 0.3019 Bi
0.0000 0.0000 0.0000 As
0.7732 0.7028 0.5465 Ce
0.1028 0.7001 0.2055 Ce
0.2268 0.2972 0.4535 Ce
0.8972 0.2999 0.7945 Ce
```

## Properties
total moment = 5.6 μB/cell
Fermi-level density of states = 18.162 states/eV/f.u.
space-group type = C2/m


Q.
A relaxed structure of Ce4Bi3As, computed with GGA-PBE.

```
Ce4Bi3As
1.0
-1.9409 -2.0518 3.4881
-1.3528 -6.2845 -4.4494
6.9772 -0.7362 3.4494
Ce Bi As
4 3 1
Direct
0.5000 0.2410 0.7590 Ce
0.0000 0.7672 0.7672 Ce
0.5000 0.7590 0.2410 Ce
0.0000 0.2328 0.2328 Ce
0.5000 0.5000 0.5000 Bi
0.0000 0.5000 0.0000 Bi
0.0000 0.0000 0.5000 Bi
0.5000 0.0000 0.0000 As
```

## Properties
total moment = 3.5 μB/cell
Fermi-level density of states = 23.278 states/eV/f.u.
space-group type = Cmmm


The structure with the greatest stability is Q.


P.
A relaxed structure of BiAs2Cl, computed with GGA-PBE.

```
BiAs2Cl
1.0
-4.3893 6.6559 -4.4504
-8.0036 -3.7881 2.2283
-6.2607 2.8729 1.1046
Cl As Bi
2 4 2
Direct
0.5000 0.5000 0.0000 Cl
0.2500 0.7500 0.5000 Cl
0.8750 0.9226 0.7500 As
0.3750 0.3274 0.7500 As
0.6726 0.1250 0.2500 As
0.0774 0.6250 0.2500 As
0.0000 0.0000 0.0000 Bi
0.7500 0.2500 0.5000 Bi
```

## Properties
total moment = 0.0 μB/cell
Fermi-level density of states = 1.808 states/eV/f.u.
space-group type = I-42d


Q.
A relaxed structure of BiAs2Cl, computed with GGA-PBE.

```
BiAs2Cl
1.0
-4.8477 -0.4533 1.3132
-3.4446 -1.2492 -3.4647
-2.1637 -4.5534 0.1231
As Bi Cl
2 1 1
Direct
0.2500 0.2500 0.2500 As
0.7500 0.7500 0.7500 As
0.5000 0.5000 0.5000 Bi
0.0000 0.0000 0.0000 Cl
```

## Properties
total moment = 0.0 μB/cell
Fermi-level density of states = 3.361 states/eV/f.u.
space-group type = Fm-3m


The structure with the greatest stability is P.